i) # CuTe2Ir

CuTe2Ir after structural relaxation (PBE, Alexandria).

Structure (CIF):
```
data_CuTe2Ir
_chemical_formula_sum 'Cu4 Te8 Ir4'
_symmetry_space_group_name_H-M 'F m -3 m'
_symmetry_Int_Tables_number 225
_symmetry_space_group_name_Hall '-F 4 2 3'
_cell_length_a 6.7670
_cell_length_b 6.7670
_cell_length_c 6.7670
_cell_angle_alpha 90.00
_cell_angle_beta 90.00
_cell_angle_gamma 90.00
loop_
_atom_site_label
_atom_site_type_symbol
_atom_site_fract_x
_atom_site_fract_y
_atom_site_fract_z
_atom_site_occupancy
Cu1 Cu 0.0000 0.0000 0.0000 1
Te1 Te 0.2500 0.2500 0.2500 1
Ir1 Ir 0.0000 0.0000 0.5000 1
```

ii) # CuTe2Ir

CuTe2Ir after structural relaxation (PBE, Alexandria).

Structure (CIF):
```
data_CuTe2Ir
_chemical_formula_sum 'Cu2 Te4 Ir2'
_symmetry_space_group_name_H-M 'I -4 m 2'
_symmetry_Int_Tables_number 119
_symmetry_space_group_name_Hall 'I -4 -2'
_cell_length_a 4.0618
_cell_length_b 4.0618
_cell_length_c 9.5448
_cell_angle_alpha 90.00
_cell_angle_beta 90.00
_cell_angle_gamma 90.00
loop_
_atom_site_label
_atom_site_type_symbol
_atom_site_fract_x
_atom_site_fract_y
_atom_site_fract_z
_atom_site_occupancy
Cu1 Cu 0.0000 0.0000 0.0000 1
Te1 Te 0.0000 0.0000 0.5000 1
Te2 Te 0.0000 0.5000 0.2500 1
Ir1 Ir 0.0000 0.5000 0.7500 1
```

iii) # CuTe2Ir

CuTe2Ir after structural relaxation (PBE, Alexandria).

Structure (CIF):
```
data_CuTe2Ir
_chemical_formula_sum 'Cu1 Te2 Ir1'
_symmetry_space_group_name_H-M 'P 1 2/m 1'
_symmetry_Int_Tables_number 10
_cell_length_a 4.8854
_cell_length_b 3.8571
_cell_length_c 4.9087
_cell_angle_alpha 90.00
_cell_angle_beta 105.73
_cell_angle_gamma 90.00
loop_
_symmetry_equiv_pos_as_xyz
'x,y,z'
'-x,-y,-z'
'-x,y,-z'
'x,-y,z'
loop_
_atom_site_label
_atom_site_type_symbol
_atom_site_fract_x
_atom_site_fract_y
_atom_site_fract_z
_atom_site_occupancy
Cu1 Cu 0.0000 0.0000 0.0000 1
Te1 Te 0.2736 0.5000 0.7302 1
Ir1 Ir 0.5000 0.0000 0.5000 1
```

iv) # CuTe2Ir

CuTe2Ir after structural relaxation (PBE, Alexandria).

Structure (CIF):
```
data_CuTe2Ir
_chemical_formula_sum 'Cu1 Te2 Ir1'
_symmetry_space_group_name_H-M 'P m m 2'
_symmetry_Int_Tables_number 25
_cell_length_a 3.3996
_cell_length_b 3.5103
_cell_length_c 7.3652
_cell_angle_alpha 90.00
_cell_angle_beta 90.00
_cell_angle_gamma 90.00
loop_
_symmetry_equiv_pos_as_xyz
'x,y,z'
'-x,-y,z'
'-x,y,z'
'x,-y,z'
loop_
_atom_site_label
_atom_site_type_symbol
_atom_site_fract_x
_atom_site_fract_y
_atom_site_fract_z
_atom_site_occupancy
Cu1 Cu 0.0000 0.0000 0.0000 1
Te1 Te 0.0000 0.0000 0.3611 1
Te2 Te 0.5000 0.5000 0.8213 1
Ir1 Ir 0.5000 0.5000 0.1884 1
```

Of them, ii) has the lowest stability.

i) # YThCuIr

YThCuIr after structural relaxation (PBE, Alexandria).

Structure (CIF):
```
data_YThCuIr
_chemical_formula_sum 'Y2 Th2 Cu2 Ir2'
_symmetry_space_group_name_H-M 'A m m 2'
_symmetry_Int_Tables_number 38
_cell_length_a 4.1341
_cell_length_b 3.9205
_cell_length_c 11.3087
_cell_angle_alpha 90.00
_cell_angle_beta 90.00
_cell_angle_gamma 90.00
loop_
_symmetry_equiv_pos_as_xyz
'x,y,z'
'-x,-y,z'
'-x,y,z'
'x,-y,z'
'x,y+1/2,z+1/2'
'-x,-y+1/2,z+1/2'
'-x,y+1/2,z+1/2'
'x,-y+1/2,z+1/2'
loop_
_atom_site_label
_atom_site_type_symbol
_atom_site_fract_x
_atom_site_fract_y
_atom_site_fract_z
_atom_site_occupancy
Y1 Y 0.0000 0.0000 0.0000 1
Th1 Th 0.5000 0.0000 0.7252 1
Cu1 Cu 0.5000 0.0000 0.4348 1
Ir1 Ir 0.0000 0.0000 0.2661 1
```

ii) # YThCuIr

YThCuIr after structural relaxation (PBE, Alexandria).

Structure (CIF):
```
data_YThCuIr
_chemical_formula_sum 'Y4 Th4 Cu4 Ir4'
_symmetry_space_group_name_H-M 'F -4 3 m'
_symmetry_Int_Tables_number 216
_symmetry_space_group_name_Hall 'F -4 2 3'
_cell_length_a 7.0602
_cell_length_b 7.0602
_cell_length_c 7.0602
_cell_angle_alpha 90.00
_cell_angle_beta 90.00
_cell_angle_gamma 90.00
loop_
_atom_site_label
_atom_site_type_symbol
_atom_site_fract_x
_atom_site_fract_y
_atom_site_fract_z
_atom_site_occupancy
Y1 Y 0.0000 0.0000 0.0000 1
Th1 Th 0.0000 0.0000 0.5000 1
Cu1 Cu 0.2500 0.2500 0.7500 1
Ir1 Ir 0.2500 0.2500 0.2500 1
```

Of them, ii) has the lowest stability.

i) # TiCu2Ir2

TiCu2Ir2 after structural relaxation (PBE, Alexandria).

Structure (CIF):
```
data_TiCu2Ir2
_chemical_formula_sum 'Ti2 Cu4 Ir4'
_symmetry_space_group_name_H-M 'P 4/m b m'
_symmetry_Int_Tables_number 127
_symmetry_space_group_name_Hall '-P 4 2ab'
_cell_length_a 6.9632
_cell_length_b 6.9632
_cell_length_c 2.9842
_cell_angle_alpha 90.00
_cell_angle_beta 90.00
_cell_angle_gamma 90.00
loop_
_atom_site_label
_atom_site_type_symbol
_atom_site_fract_x
_atom_site_fract_y
_atom_site_fract_z
_atom_site_occupancy
Ti1 Ti 0.0000 0.0000 0.0000 1
Cu1 Cu 0.1638 0.3362 0.5000 1
Ir1 Ir 0.1357 0.6357 0.0000 1
```

ii) # TiCu2Ir2

TiCu2Ir2 after structural relaxation (PBE, Alexandria).

Structure (CIF):
```
data_TiCu2Ir2
_chemical_formula_sum 'Ti2 Cu4 Ir4'
_symmetry_space_group_name_H-M 'P 4/m b m'
_symmetry_Int_Tables_number 127
_symmetry_space_group_name_Hall '-P 4 2ab'
_cell_length_a 6.9218
_cell_length_b 6.9218
_cell_length_c 2.9318
_cell_angle_alpha 90.00
_cell_angle_beta 90.00
_cell_angle_gamma 90.00
loop_
_atom_site_label
_atom_site_type_symbol
_atom_site_fract_x
_atom_site_fract_y
_atom_site_fract_z
_atom_site_occupancy
Ti1 Ti 0.0000 0.0000 0.0000 1
Cu1 Cu 0.1243 0.3757 0.0000 1
Ir1 Ir 0.1742 0.6742 0.5000 1
```

iii) # TiCu2Ir2

TiCu2Ir2 after structural relaxation (PBE, Alexandria).

Structure (CIF):
```
data_TiCu2Ir2
_chemical_formula_sum 'Ti2 Cu4 Ir4'
_symmetry_space_group_name_H-M 'I 4/m m m'
_symmetry_Int_Tables_number 139
_symmetry_space_group_name_Hall '-I 4 2'
_cell_length_a 3.7104
_cell_length_b 3.7104
_cell_length_c 11.0907
_cell_angle_alpha 90.00
_cell_angle_beta 90.00
_cell_angle_gamma 90.00
loop_
_atom_site_label
_atom_site_type_symbol
_atom_site_fract_x
_atom_site_fract_y
_atom_site_fract_z
_atom_site_occupancy
Ti1 Ti 0.0000 0.0000 0.0000 1
Cu1 Cu 0.0000 0.0000 0.4008 1
Ir1 Ir 0.0000 0.5000 0.2500 1
```

Of them, iii) has the lowest stability.